Record 1
Entry from Alexandria: a relaxed structure of La2ZrCd (GGA-PBE).

Cell: 3.495 4.391 7.374 Å, 90.00 90.00 90.00°
Element x y z (fractional)
La (0.000, 0.000, 0.000)
La (0.500, 0.500, 0.296)
Zr (0.000, 0.000, 0.559)
Cd (0.500, 0.500, 0.752)

The formation energy comes out at 0.022 eV/atom. For the density, the calculation gives 7064 kg/m³. Its crystal system is orthorhombic.


Record 2
Entry from Alexandria: a relaxed structure of LaZr2Cd (GGA-PBE).

Cell: 5.343 5.343 3.407 Å, 90.00 90.00 90.00°
Element x y z (fractional)
La (0.000, 0.000, 0.000)
Zr (0.000, 0.500, 0.500)
Zr (0.500, 0.000, 0.500)
Cd (0.500, 0.500, 0.000)

The formation energy comes out at 0.140 eV/atom. For the density, the calculation gives 7406 kg/m³. Its crystal system is tetragonal.


Record 3
Entry from Alexandria: a relaxed structure of La2ZrCd (GGA-PBE).

Cell: 4.795 4.795 9.867 Å, 90.00 90.00 90.00°
Element x y z (fractional)
La (0.000, 0.000, 0.000)
La (0.000, 0.500, 0.250)
La (0.500, 0.000, 0.750)
La (0.500, 0.500, 0.500)
Zr (0.000, 0.500, 0.750)
Zr (0.500, 0.000, 0.250)
Cd (0.000, 0.000, 0.500)
Cd (0.500, 0.500, 0.000)

The formation energy comes out at 0.023 eV/atom. For the density, the calculation gives 7047 kg/m³. Its crystal system is tetragonal.